This record from Alexandria describes a relaxed LiSbH crystal. The functional is PBE-GGA.

Values from the calculation:
**Spin magnetization**: 0.00 μB/cell
**E**: -73.9 eV per cell
**Space group**: Pnna (52)
**Calculated density**: 3.81 g/cm3

Lattice parameters (Å, degrees): 5.430 7.411 11.228 90.00 90.00 90.00
Fractional coordinates of all 24 atoms:
Sb1 0.519 0.646 0.142
Sb2 0.481 0.354 0.858
Sb3 0.519 0.854 0.358
Sb4 0.019 0.646 0.858
Sb5 0.481 0.146 0.642
Sb6 0.981 0.146 0.358
Sb7 0.019 0.854 0.642
Sb8 0.981 0.354 0.142
H1 0.836 0.735 0.394
H2 0.664 0.265 0.394
H3 0.664 0.235 0.106
H4 0.164 0.235 0.894
H5 0.836 0.765 0.106
H6 0.336 0.735 0.606
H7 0.164 0.265 0.606
H8 0.336 0.765 0.894
Li1 0.250 0.500 0.622
Li2 0.474 0.250 0.250
Li3 0.526 0.750 0.750
Li4 0.026 0.750 0.250
Li5 0.750 0.000 0.122
Li6 0.750 0.500 0.378
Li7 0.250 0.000 0.878
Li8 0.974 0.250 0.750